No. 1
GaSiSe2Cl after structural relaxation, computed with PBE-GGA.

uncorrected formation energy: 779.0 meV per atom
space group: P4/mmm

abc: 5.355 5.355 4.639
angles: 90.00 90.00 90.00
Fractional positions:
Ga (0.000, 0.000, 0.000)
Si (0.500, 0.500, 0.000)
Se (0.000, 0.500, 0.500)
Se (0.500, 0.000, 0.500)
Cl (0.500, 0.500, 0.500)

---

No. 2
Sm4GaSeCl2 after structural relaxation, computed with PBE-GGA.

uncorrected formation energy: -1300.7 meV per atom
space group: P2/m

abc: 7.096 4.223 7.326
angles: 90.00 110.31 90.00
Fractional positions:
Sm (0.233, 0.000, 0.256)
Sm (0.234, 0.500, 0.736)
Sm (0.766, 0.500, 0.264)
Sm (0.767, 0.000, 0.744)
Ga (0.000, 0.000, 0.500)
Se (0.000, 0.500, 0.000)
Cl (0.500, 0.000, 0.000)
Cl (0.500, 0.500, 0.500)

---

No. 3
Sm3GaSeCl after structural relaxation, computed with PBE-GGA.

uncorrected formation energy: -1296.3 meV per atom
space group: P2_1/m

abc: 7.447 3.977 11.047
angles: 90.00 103.13 90.00
Fractional positions:
Sm (0.044, 0.250, 0.170)
Sm (0.215, 0.750, 0.502)
Sm (0.440, 0.750, 0.843)
Sm (0.560, 0.250, 0.157)
Sm (0.785, 0.250, 0.498)
Sm (0.956, 0.750, 0.830)
Ga (0.148, 0.250, 0.693)
Ga (0.852, 0.750, 0.307)
Se (0.262, 0.750, 0.057)
Se (0.738, 0.250, 0.943)
Cl (0.380, 0.250, 0.368)
Cl (0.620, 0.750, 0.632)

---

No. 4
Sm4GaSe2Cl after structural relaxation, computed with PBE-GGA.

uncorrected formation energy: -1424.6 meV per atom
space group: P2/m

abc: 7.263 4.146 7.281
angles: 90.00 108.89 90.00
Fractional positions:
Sm (0.244, 0.000, 0.233)
Sm (0.253, 0.500, 0.758)
Sm (0.747, 0.500, 0.242)
Sm (0.756, 0.000, 0.767)
Ga (0.500, 0.000, 0.000)
Se (0.000, 0.000, 0.500)
Se (0.000, 0.500, 0.000)
Cl (0.500, 0.500, 0.500)

---

No. 5
SrGa2SeCl after structural relaxation, computed with PBE-GGA.

uncorrected formation energy: -275.5 meV per atom
space group: P4/mmm

abc: 5.038 5.038 6.803
angles: 90.00 90.00 90.00
Fractional positions:
Sr (0.000, 0.000, 0.000)
Ga (0.000, 0.500, 0.500)
Ga (0.500, 0.000, 0.500)
Se (0.500, 0.500, 0.500)
Cl (0.500, 0.500, 0.000)

---

No. 6
Sr2GaSeCl after structural relaxation, computed with PBE-GGA.

uncorrected formation energy: -703.9 meV per atom
space group: P4/mmm

abc: 5.970 5.970 4.926
angles: 90.00 90.00 90.00
Fractional positions:
Sr (0.000, 0.500, 0.000)
Sr (0.500, 0.000, 0.000)
Ga (0.000, 0.000, 0.000)
Se (0.500, 0.500, 0.500)
Cl (0.000, 0.000, 0.500)

---

No. 7
TiGa2SeCl after structural relaxation, computed with PBE-GGA.

uncorrected formation energy: 328.3 meV per atom
space group: P4/mmm

abc: 5.223 5.223 4.523
angles: 90.00 90.00 90.00
Fractional positions:
Ti (0.000, 0.000, 0.000)
Ga (0.000, 0.500, 0.500)
Ga (0.500, 0.000, 0.500)
Se (0.500, 0.500, 0.000)
Cl (0.000, 0.000, 0.500)

---

No. 8
Tl2GaSeCl6 after structural relaxation, computed with PBE-GGA.

uncorrected formation energy: -696.7 meV per atom
space group: Immm

abc: 7.393 7.393 7.393
angles: 117.68 117.54 94.19
Fractional positions:
Tl (0.249, 0.249, 0.000)
Tl (0.751, 0.751, 0.000)
Ga (0.000, 0.500, 0.500)
Se (0.500, 0.000, 0.500)
Cl (0.217, 0.283, 0.499)
Cl (0.217, 0.717, 0.934)
Cl (0.261, 0.761, 0.500)
Cl (0.739, 0.239, 0.500)
Cl (0.783, 0.283, 0.066)
Cl (0.783, 0.717, 0.501)

---

No. 9
Tl2GaSeCl after structural relaxation, computed with PBE-GGA.

uncorrected formation energy: -103.3 meV per atom
space group: P4/mmm

abc: 5.585 5.585 4.759
angles: 90.00 90.00 90.00
Fractional positions:
Tl (0.000, 0.500, 0.000)
Tl (0.500, 0.000, 0.000)
Ga (0.000, 0.000, 0.000)
Se (0.500, 0.500, 0.500)
Cl (0.000, 0.000, 0.500)

---

No. 10
TlGaSe2Cl after structural relaxation, computed with PBE-GGA.

uncorrected formation energy: 344.3 meV per atom
space group: P4/mmm

abc: 5.216 5.216 10.493
angles: 90.00 90.00 90.00
Fractional positions:
Tl (0.000, 0.000, 0.000)
Ga (0.000, 0.000, 0.500)
Se (0.000, 0.500, 0.000)
Se (0.500, 0.000, 0.000)
Cl (0.500, 0.500, 0.500)

---

No. 11
Tl2GaSeCl after structural relaxation, computed with PBE-GGA.

uncorrected formation energy: -211.6 meV per atom
space group: P4/mmm

abc: 6.355 6.355 4.893
angles: 90.00 90.00 90.00
Fractional positions:
Tl (0.000, 0.500, 0.000)
Tl (0.500, 0.000, 0.000)
Ga (0.000, 0.000, 0.500)
Se (0.000, 0.000, 0.000)
Cl (0.500, 0.500, 0.500)

---

No. 12
GaSiCl after structural relaxation, computed with PBE-GGA.

uncorrected formation energy: -410.3 meV per atom
space group: Ima2

abc: 3.988 9.581 6.808
angles: 90.00 90.00 90.00
Fractional positions:
Ga (0.250, 0.227, 0.000)
Ga (0.250, 0.273, 0.500)
Ga (0.750, 0.727, 0.500)
Ga (0.750, 0.773, 0.000)
Si (0.250, 0.068, 0.716)
Si (0.250, 0.432, 0.216)
Si (0.750, 0.568, 0.216)
Si (0.750, 0.932, 0.716)
Cl (0.250, 0.640, 0.701)
Cl (0.250, 0.860, 0.201)
Cl (0.750, 0.140, 0.201)
Cl (0.750, 0.360, 0.701)

---

No. 13
GaSiCl after structural relaxation, computed with PBE-GGA.

uncorrected formation energy: -333.4 meV per atom
space group: Cm

abc: 6.471 3.721 12.017
angles: 90.00 100.71 90.00
Fractional positions:
Ga (0.000, 0.000, 0.000)
Ga (0.228, 0.500, 0.162)
Ga (0.500, 0.500, 0.000)
Ga (0.728, 0.000, 0.162)
Si (0.118, 0.500, 0.854)
Si (0.256, 0.000, 0.770)
Si (0.618, 0.000, 0.854)
Si (0.756, 0.500, 0.770)
Cl (0.197, 0.000, 0.595)
Cl (0.438, 0.000, 0.294)
Cl (0.697, 0.500, 0.595)
Cl (0.938, 0.500, 0.294)

---

No. 14
GaSiCl after structural relaxation, computed with PBE-GGA.

uncorrected formation energy: -383.9 meV per atom
space group: P1

abc: 3.830 3.834 12.379
angles: 81.32 89.77 60.69
Fractional positions:
Ga (0.000, 0.000, 0.000)
Ga (0.303, 0.410, 0.886)
Si (0.059, 0.877, 0.197)
Si (0.744, 0.501, 0.262)
Cl (0.251, 0.520, 0.711)
Cl (0.794, 0.393, 0.432)

---

No. 15
GaSiCl after structural relaxation, computed with PBE-GGA.

uncorrected formation energy: -257.8 meV per atom
space group: Cm

abc: 18.291 3.596 5.509
angles: 90.00 103.89 90.00
Fractional positions:
Ga (0.000, 0.000, 0.000)
Ga (0.099, 0.000, 0.398)
Ga (0.500, 0.500, 0.000)
Ga (0.599, 0.500, 0.398)
Si (0.440, 0.000, 0.272)
Si (0.483, 0.500, 0.549)
Si (0.940, 0.500, 0.272)
Si (0.983, 0.000, 0.549)
Cl (0.185, 0.500, 0.534)
Cl (0.323, 0.000, 0.134)
Cl (0.685, 0.000, 0.534)
Cl (0.823, 0.500, 0.134)

---

No. 16
GaSiCl after structural relaxation, computed with PBE-GGA.

uncorrected formation energy: -384.6 meV per atom
space group: P1

abc: 3.852 3.853 12.175
angles: 89.02 89.40 60.01
Fractional positions:
Ga (0.000, 0.000, 0.000)
Ga (0.332, 0.328, 0.115)
Si (0.330, 0.318, 0.312)
Si (0.663, 0.648, 0.376)
Cl (0.661, 0.640, 0.547)
Cl (0.999, 0.010, 0.825)

---

No. 17
GaSiCl after structural relaxation, computed with PBE-GGA.

uncorrected formation energy: -237.7 meV per atom
space group: P-1

abc: 3.823 4.115 10.225
angles: 85.63 84.38 73.26
Fractional positions:
Ga (0.199, 0.202, 0.421)
Ga (0.801, 0.798, 0.579)
Si (0.426, 0.389, 0.641)
Si (0.574, 0.611, 0.359)
Cl (0.298, 0.295, 0.841)
Cl (0.702, 0.705, 0.159)

---

No. 18
GaSiCl after structural relaxation, computed with PBE-GGA.

uncorrected formation energy: -280.2 meV per atom
space group: P1

abc: 3.698 5.894 9.366
angles: 105.71 92.09 106.59
Fractional positions:
Ga (0.000, 0.000, 0.000)
Ga (0.318, 0.816, 0.172)
Si (0.204, 0.405, 0.192)
Si (0.652, 0.268, 0.297)
Cl (0.488, 0.951, 0.822)
Cl (0.706, 0.329, 0.527)

---

No. 19
GaSiCl after structural relaxation, computed with PBE-GGA.

uncorrected formation energy: -280.1 meV per atom
space group: Fmm2

abc: 8.802 6.729 6.356
angles: 84.50 49.55 45.95
Fractional positions:
Ga (0.189, 0.811, 0.189)
Ga (0.811, 0.189, 0.811)
Si (0.325, 0.325, 0.675)
Si (0.925, 0.925, 0.075)
Cl (0.084, 0.358, 0.642)
Cl (0.358, 0.084, 0.916)

---

No. 20
GaSiCl after structural relaxation, computed with PBE-GGA.

uncorrected formation energy: -295.2 meV per atom
space group: Cm

abc: 11.217 4.043 6.121
angles: 90.00 97.41 90.00
Fractional positions:
Ga (0.000, 0.000, 0.000)
Ga (0.060, 0.000, 0.419)
Ga (0.500, 0.500, 0.000)
Ga (0.560, 0.500, 0.419)
Si (0.174, 0.000, 0.789)
Si (0.276, 0.500, 0.920)
Si (0.674, 0.500, 0.789)
Si (0.776, 0.000, 0.920)
Cl (0.237, 0.500, 0.261)
Cl (0.448, 0.000, 0.558)
Cl (0.737, 0.000, 0.261)
Cl (0.948, 0.500, 0.558)